(a)
# TbSm4Y3 (PBE, relaxed)
data_TbSm4Y3
_chemical_formula_sum 'Tb2 Sm8 Y6'
_space_group_name_H-M_alt 'P 1'
_space_group_IT_number 1
_cell_length_a 6.339
_cell_length_b 7.336
_cell_length_c 11.499
_cell_angle_alpha 90.00
_cell_angle_beta 90.00
_cell_angle_gamma 90.00
loop_
_space_group_symop_operation_xyz
'x,y,z'
loop_
_atom_site_label
_atom_site_fract_x
_atom_site_fract_y
_atom_site_fract_z
_atom_site_occupancy
Tb1 0.147 0.375 0.000 1
Tb2 0.647 0.625 0.500 1
Sm1 0.149 0.874 0.000 1
Sm2 0.650 0.126 0.000 1
Sm3 0.980 0.126 0.250 1
Sm4 0.480 0.874 0.250 1
Sm5 0.150 0.874 0.500 1
Sm6 0.649 0.126 0.500 1
Sm7 0.480 0.874 0.750 1
Sm8 0.980 0.126 0.750 1
Y1 0.647 0.623 0.000 1
Y2 0.981 0.624 0.250 1
Y3 0.481 0.376 0.250 1
Y4 0.147 0.377 0.500 1
Y5 0.481 0.376 0.750 1
Y6 0.981 0.624 0.750 1
# Calculated volume in Å³/cell: 535

***

(b)
# TbSm4Y3 (PBE, relaxed)
data_TbSm4Y3
_chemical_formula_sum 'Tb1 Sm4 Y3'
_space_group_name_H-M_alt 'P 1'
_space_group_IT_number 1
_cell_length_a 3.488
_cell_length_b 6.801
_cell_length_c 11.949
_cell_angle_alpha 106.31
_cell_angle_beta 98.39
_cell_angle_gamma 90.00
loop_
_space_group_symop_operation_xyz
'x,y,z'
loop_
_atom_site_label
_atom_site_fract_x
_atom_site_fract_y
_atom_site_fract_z
_atom_site_occupancy
Y1 0.000 0.500 0.000 1
Y2 0.124 0.882 0.248 1
Y3 0.876 0.118 0.752 1
Tb1 0.500 0.000 0.000 1
Sm1 0.740 0.240 0.480 1
Sm2 0.260 0.760 0.520 1
Sm3 0.124 0.369 0.248 1
Sm4 0.876 0.631 0.752 1
# Calculated volume in Å³/cell: 269

***

The most stable arrangement is (a), and the next structure is 14.5 kJ/mol of atoms less stable.

***

(a)
# Tb3SmY6 (PBE, relaxed)
data_Tb3SmY6
_chemical_formula_sum 'Tb6 Sm2 Y12'
_space_group_name_H-M_alt 'P 1'
_space_group_IT_number 1
_cell_length_a 6.417
_cell_length_b 11.588
_cell_length_c 11.588
_cell_angle_alpha 130.73
_cell_angle_beta 90.00
_cell_angle_gamma 90.00
loop_
_space_group_symop_operation_xyz
'x,y,z'
loop_
_atom_site_label
_atom_site_fract_x
_atom_site_fract_y
_atom_site_fract_z
_atom_site_occupancy
Tb1 0.486 0.959 0.703 1
Tb2 0.986 0.703 0.959 1
Tb3 0.096 0.419 0.581 1
Tb4 0.596 0.581 0.419 1
Tb5 0.986 0.041 0.297 1
Tb6 0.486 0.297 0.041 1
Sm1 0.013 0.161 0.839 1
Sm2 0.513 0.839 0.161 1
Y1 0.071 0.741 0.621 1
Y2 0.571 0.621 0.741 1
Y3 0.329 0.458 0.894 1
Y4 0.829 0.894 0.458 1
Y5 0.315 0.985 0.015 1
Y6 0.790 0.302 0.698 1
Y7 0.290 0.698 0.302 1
Y8 0.815 0.015 0.985 1
Y9 0.329 0.106 0.542 1
Y10 0.829 0.542 0.106 1
Y11 0.071 0.379 0.259 1
Y12 0.571 0.259 0.379 1
# Calculated volume in Å³/cell: 653

***

(b)
# Tb3SmY6 (PBE, relaxed)
data_Tb3SmY6
_chemical_formula_sum 'Tb6 Sm2 Y12'
_space_group_name_H-M_alt 'P 1'
_space_group_IT_number 1
_cell_length_a 6.280
_cell_length_b 10.974
_cell_length_c 10.974
_cell_angle_alpha 119.68
_cell_angle_beta 90.00
_cell_angle_gamma 90.00
loop_
_space_group_symop_operation_xyz
'x,y,z'
loop_
_atom_site_label
_atom_site_fract_x
_atom_site_fract_y
_atom_site_fract_z
_atom_site_occupancy
Tb1 0.454 0.937 0.717 1
Tb2 0.954 0.717 0.937 1
Tb3 0.072 0.389 0.611 1
Tb4 0.572 0.611 0.389 1
Tb5 0.954 0.063 0.283 1
Tb6 0.454 0.283 0.063 1
Sm1 0.152 0.205 0.795 1
Sm2 0.652 0.795 0.205 1
Y1 0.038 0.710 0.619 1
Y2 0.538 0.619 0.710 1
Y3 0.363 0.538 0.955 1
Y4 0.863 0.955 0.538 1
Y5 0.401 0.953 0.047 1
Y6 0.651 0.280 0.720 1
Y7 0.151 0.720 0.280 1
Y8 0.901 0.047 0.953 1
Y9 0.363 0.045 0.462 1
Y10 0.863 0.462 0.045 1
Y11 0.038 0.381 0.290 1
Y12 0.538 0.290 0.381 1
# Calculated volume in Å³/cell: 657

***

The most stable arrangement is (a), and the next structure is 2.8 kJ/mol of atoms less stable.

***

(a)
# TbSm3Y4 (PBE, relaxed)
data_TbSm3Y4
_chemical_formula_sum 'Tb1 Sm3 Y4'
_space_group_name_H-M_alt 'P 1'
_space_group_IT_number 1
_cell_length_a 3.473
_cell_length_b 6.752
_cell_length_c 15.380
_cell_angle_alpha 131.20
_cell_angle_beta 96.48
_cell_angle_gamma 90.00
loop_
_space_group_symop_operation_xyz
'x,y,z'
loop_
_atom_site_label
_atom_site_fract_x
_atom_site_fract_y
_atom_site_fract_z
_atom_site_occupancy
Y1 0.376 0.881 0.751 1
Y2 0.624 0.119 0.249 1
Y3 0.624 0.628 0.249 1
Y4 0.376 0.372 0.751 1
Tb1 0.500 0.000 0.000 1
Sm1 0.000 0.500 0.000 1
Sm2 0.240 0.219 0.479 1
Sm3 0.760 0.781 0.521 1
# Calculated volume in Å³/cell: 268

***

(b)
# TbSm3Y4 (PBE, relaxed)
data_TbSm3Y4
_chemical_formula_sum 'Tb2 Sm6 Y8'
_space_group_name_H-M_alt 'P 1'
_space_group_IT_number 1
_cell_length_a 6.338
_cell_length_b 7.333
_cell_length_c 11.441
_cell_angle_alpha 90.00
_cell_angle_beta 90.00
_cell_angle_gamma 90.00
loop_
_space_group_symop_operation_xyz
'x,y,z'
loop_
_atom_site_label
_atom_site_fract_x
_atom_site_fract_y
_atom_site_fract_z
_atom_site_occupancy
Tb1 0.149 0.374 0.000 1
Tb2 0.649 0.626 0.500 1
Sm1 0.649 0.625 0.000 1
Sm2 0.979 0.625 0.250 1
Sm3 0.479 0.375 0.250 1
Sm4 0.149 0.375 0.500 1
Sm5 0.479 0.375 0.750 1
Sm6 0.979 0.625 0.750 1
Y1 0.147 0.876 0.000 1
Y2 0.647 0.125 0.000 1
Y3 0.982 0.124 0.249 1
Y4 0.482 0.876 0.251 1
Y5 0.147 0.875 0.500 1
Y6 0.647 0.124 0.500 1
Y7 0.482 0.876 0.749 1
Y8 0.982 0.124 0.751 1
# Calculated volume in Å³/cell: 532

***

The most stable arrangement is (b), and the next structure is 16.1 kJ/mol of atoms less stable.

***

(a)
# Tb3Sm4Y5 (PBE, relaxed)
data_Tb3Sm4Y5
_chemical_formula_sum 'Tb3 Sm4 Y5'
_space_group_name_H-M_alt 'P 1'
_space_group_IT_number 1
_cell_length_a 5.935
_cell_length_b 8.616
_cell_length_c 9.714
_cell_angle_alpha 105.96
_cell_angle_beta 72.21
_cell_angle_gamma 69.85
loop_
_space_group_symop_operation_xyz
'x,y,z'
loop_
_atom_site_label
_atom_site_fract_x
_atom_site_fract_y
_atom_site_fract_z
_atom_site_occupancy
Tb1 0.523 0.687 0.267 1
Tb2 0.000 0.500 0.500 1
Tb3 0.477 0.313 0.733 1
Sm1 0.862 0.222 0.055 1
Sm2 0.167 0.048 0.618 1
Sm3 0.833 0.952 0.382 1
Sm4 0.138 0.778 0.945 1
Y1 0.630 0.943 0.797 1
Y2 0.500 0.500 0.500 1
Y3 0.214 0.458 0.114 1
Y4 0.786 0.542 0.886 1
Y5 0.370 0.057 0.203 1
# Calculated volume in Å³/cell: 402

***

(b)
# Tb3Sm4Y5 (PBE, relaxed)
data_Tb3Sm4Y5
_chemical_formula_sum 'Tb3 Sm4 Y5'
_space_group_name_H-M_alt 'P 1'
_space_group_IT_number 1
_cell_length_a 7.175
_cell_length_b 11.346
_cell_length_c 12.932
_cell_angle_alpha 151.28
_cell_angle_beta 56.29
_cell_angle_gamma 129.31
loop_
_space_group_symop_operation_xyz
'x,y,z'
loop_
_atom_site_label
_atom_site_fract_x
_atom_site_fract_y
_atom_site_fract_z
_atom_site_occupancy
Tb1 0.581 0.165 0.333 1
Tb2 0.000 0.000 0.500 1
Tb3 0.419 0.835 0.667 1
Sm1 0.918 0.834 0.666 1
Sm2 0.834 0.667 0.833 1
Sm3 0.166 0.333 0.167 1
Sm4 0.082 0.166 0.334 1
Y1 0.332 0.665 0.832 1
Y2 0.500 0.000 0.500 1
Y3 0.751 0.499 0.999 1
Y4 0.249 0.501 0.001 1
Y5 0.668 0.335 0.168 1
# Calculated volume in Å³/cell: 391

***

The most stable arrangement is (b), and the next structure is 20.2 kJ/mol of atoms less stable.

***

(a)
# Tb4Sm6Y (PBE, relaxed)
data_Tb4Sm6Y
_chemical_formula_sum 'Tb4 Sm6 Y1'
_space_group_name_H-M_alt 'P 1'
_space_group_IT_number 1
_cell_length_a 8.542
_cell_length_b 8.542
_cell_length_c 8.542
_cell_angle_alpha 79.12
_cell_angle_beta 126.47
_cell_angle_gamma 126.47
loop_
_space_group_symop_operation_xyz
'x,y,z'
loop_
_atom_site_label
_atom_site_fract_x
_atom_site_fract_y
_atom_site_fract_z
_atom_site_occupancy
Tb1 0.000 0.571 0.055 1
Tb2 0.484 0.429 0.429 1
Tb3 0.000 0.055 0.571 1
Tb4 0.516 0.945 0.945 1
Sm1 0.000 0.747 0.405 1
Sm2 0.000 0.405 0.747 1
Sm3 0.342 0.595 0.595 1
Sm4 0.500 0.500 0.000 1
Sm5 0.658 0.253 0.253 1
Sm6 0.500 0.000 0.500 1
Y1 0.000 0.000 0.000 1
# Calculated volume in Å³/cell: 390

***

(b)
# Tb4Sm6Y (PBE, relaxed)
data_Tb4Sm6Y
_chemical_formula_sum 'Tb4 Sm6 Y1'
_space_group_name_H-M_alt 'P 1'
_space_group_IT_number 1
_cell_length_a 7.570
_cell_length_b 7.570
_cell_length_c 8.607
_cell_angle_alpha 116.09
_cell_angle_beta 116.09
_cell_angle_gamma 90.00
loop_
_space_group_symop_operation_xyz
'x,y,z'
loop_
_atom_site_label
_atom_site_fract_x
_atom_site_fract_y
_atom_site_fract_z
_atom_site_occupancy
Tb1 0.088 0.754 0.842 1
Tb2 0.912 0.912 0.158 1
Tb3 0.754 0.088 0.842 1
Tb4 0.246 0.246 0.158 1
Sm1 0.919 0.457 0.376 1
Sm2 0.457 0.919 0.376 1
Sm3 0.543 0.543 0.624 1
Sm4 0.000 0.500 0.000 1
Sm5 0.081 0.081 0.624 1
Sm6 0.500 0.000 0.000 1
Y1 0.500 0.500 0.000 1
# Calculated volume in Å³/cell: 386

***

The most stable arrangement is (b), and the next structure is 3.3 kJ/mol of atoms less stable.